A geometry-optimized BaCuGeAu3 structure. Source: the Alexandria database, functional PBE.

Cell and atoms, written as POSCAR:
```
BaCuGeAu3
1.0
3.379 -6.031 0.000
3.379 6.031 0.000
0.000 0.000 7.080
Ba Cu Ge Au
2 2 2 6
direct
0.224 0.776 0.750 Ba
0.776 0.224 0.250 Ba
0.489 0.511 0.750 Cu
0.511 0.489 0.250 Cu
0.093 0.907 0.250 Ge
0.907 0.093 0.750 Ge
0.231 0.231 0.000 Au
0.231 0.231 0.500 Au
0.301 0.699 0.250 Au
0.699 0.301 0.750 Au
0.769 0.769 0.000 Au
0.769 0.769 0.500 Au
```

Computed properties:
- DOS(E_F): 0.385 states/eV/atom
- Theoretical density: 9.95 g/cm3
- Energy relative to the elements: -1.85 eV/f.u.
- Symmetry: Cmcm, No. 63


A geometry-optimized Li2HRuPb structure. Source: the Alexandria database, functional PBE.

Cell and atoms, written as POSCAR:
```
Li2HRuPb
1.0
4.144 0.000 0.000
0.000 4.144 0.000
0.000 0.000 3.749
Li H Ru Pb
2 1 1 1
direct
0.000 0.500 0.000 Li
0.500 0.000 0.000 Li
0.000 0.000 0.000 H
0.000 0.000 0.500 Ru
0.500 0.500 0.500 Pb
```

Computed properties:
- DOS(E_F): 0.671 states/eV/atom
- Theoretical density: 8.34 g/cm3
- Symmetry: P4/mmm, No. 123
- Total DFT energy (no corrections): -20.6 eV/cell


> theoretical density of number 1 (BaCuGeAu3)?

9.95 g/cm3